# NbCr3Ag2S8

NbCr3Ag2S8 after structural relaxation (GGA-PBE, the Alexandria database).

```
28
Lattice="-0.281 2.189 2.681 7.753 -5.653 5.427 9.298 7.674 -5.290" Properties=species:S:1:pos:R:3 pbc="T T T"
Cr 6.162 1.192 -0.327
Cr 13.414 4.123 0.289
Cr 7.186 4.543 -0.707
Cr 7.087 -3.604 3.685
Cr 10.890 5.127 -3.044
Cr 8.886 0.353 2.891
S 5.293 3.371 0.051
S 9.907 6.780 -4.496
S 5.514 -1.999 4.458
S 8.073 2.371 -1.089
S 9.858 0.401 0.706
S 11.991 3.489 -1.592
S 9.177 5.753 -1.486
S 8.521 -1.987 2.515
S 14.995 2.532 -0.495
S 11.074 -0.305 3.658
S 2.869 -0.738 3.152
S 6.711 1.104 2.050
S 8.343 -3.178 5.717
S 12.631 2.241 1.743
S 3.789 0.469 0.014
S 6.381 4.488 -2.995
Nb 12.164 -0.169 1.413
Nb 1.994 1.012 1.631
Ag 10.581 -3.263 3.773
Ag 5.767 -1.417 1.761
Ag 7.408 7.269 -2.909
Ag 10.081 3.656 0.321
```

## Properties
Its total magnetic moment is 8.76 μB per formula unit. The calculated total energy is -6.062 eV/atom. Its density of states at the Fermi level is 11.3 states/eV per cell. The polymorph energy (0 for the lowest one) comes out at 98 meV per atom. The formation energy (no corrections) comes out at -0.515 eV per atom. Its crystal system is orthorhombic. As for the density: 4.75 g/cm³.


# NbCr3Ag2S8

NbCr3Ag2S8 after structural relaxation (GGA-PBE, the Alexandria database).

```
28
Lattice="6.503 0.018 -0.045 -0.066 7.627 -0.065 -1.068 -1.780 12.631" Properties=species:S:1:pos:R:3 pbc="T T T"
Cr 4.904 0.843 -0.018
Cr 0.465 5.022 12.539
Cr 3.774 6.783 3.503
Cr 1.596 -0.918 9.018
Cr 1.594 2.954 9.045
Cr 3.776 2.911 3.476
Nb 0.620 4.907 3.646
Nb 4.749 0.958 8.874
S 0.535 1.030 8.258
S 0.800 4.788 8.061
S 3.630 -0.822 7.915
S 1.664 2.958 4.369
S 3.620 6.879 1.247
S 4.885 4.964 11.387
S 3.965 2.732 1.285
S 3.706 2.907 8.152
S 0.673 4.999 1.373
S 4.696 0.866 11.148
S 1.405 3.133 11.235
S 4.834 4.836 4.263
S 1.750 -1.014 11.274
S 0.485 0.901 1.134
S 4.569 1.078 4.460
S 1.739 6.687 4.606
Ag 5.004 5.022 8.895
Ag 3.735 3.000 12.548
Ag 0.365 0.843 3.626
Ag 1.635 2.865 -0.027
```

## Properties
Its total magnetic moment is 9.00 μB per formula unit. The calculated total energy is -5.981 eV/atom. Its density of states at the Fermi level is 10.0 states/eV per cell. The polymorph energy (0 for the lowest one) comes out at 180 meV per atom. The formation energy (no corrections) comes out at -0.433 eV per atom. Its crystal system is triclinic. As for the density: 3.83 g/cm³.


# NbCr3Ag2S8

NbCr3Ag2S8 after structural relaxation (GGA-PBE, the Alexandria database).

```
28
Lattice="-4.797 -4.586 -2.946 5.393 -4.751 -1.387 -1.469 -4.335 9.141" Properties=species:S:1:pos:R:3 pbc="T T T"
Cr -2.386 -2.304 -1.476
Cr 2.476 -5.819 0.466
Cr -0.619 -10.259 3.641
Cr 5.381 -4.740 -1.383
Cr -3.395 -7.898 4.314
Cr -0.208 -3.370 1.196
S 4.864 -5.909 0.646
S 2.103 -6.705 2.758
S 0.020 -5.650 0.316
S -3.880 -8.751 6.481
S -0.949 -7.973 4.507
S -2.555 -3.157 0.759
S 2.206 -3.663 1.609
S 2.987 -4.941 -1.685
S -0.038 -2.239 -0.889
S -0.443 -9.199 1.399
S -3.022 -10.058 3.185
S -0.547 -4.586 3.337
S -0.814 -11.414 5.710
S -0.377 -12.484 2.785
S -2.858 -6.855 2.123
S -3.677 -5.794 5.427
Ag -1.072 -6.320 -1.839
Ag 0.200 -7.353 6.648
Ag -2.141 -3.927 5.127
Ag -4.125 -4.994 1.068
Nb 1.741 -4.348 3.934
Nb -0.215 -7.032 2.347
```

## Properties
Its total magnetic moment is 8.81 μB per formula unit. The calculated total energy is -6.160 eV/atom. Its density of states at the Fermi level is 6.3 states/eV per cell. The polymorph energy (0 for the lowest one) comes out at 1 meV per atom. The formation energy (no corrections) comes out at -0.613 eV per atom. Its crystal system is orthorhombic. As for the density: 4.41 g/cm³.


# NbCr3Ag2S8

NbCr3Ag2S8 after structural relaxation (GGA-PBE, the Alexandria database).

```
28
Lattice="-1.681 -3.011 0.269 10.150 -5.332 3.757 -2.707 2.537 11.483" Properties=species:S:1:pos:R:3 pbc="T T T"
Nb 5.308 -4.907 11.617
Nb 0.453 -0.899 3.893
S 1.753 -3.155 9.010
S 7.461 -4.208 10.656
S -0.387 0.061 9.382
S 1.116 -1.044 6.409
S -0.367 -0.648 1.568
S 7.303 -4.763 3.451
S 6.149 -5.867 6.127
S 1.198 -3.280 4.139
S 4.563 -2.526 11.370
S -1.699 -1.598 4.854
S 4.008 -2.651 6.500
S 4.645 -4.761 9.101
S 6.128 -5.157 13.941
S -1.541 -1.043 12.058
S 1.667 -0.875 11.747
S 4.094 -4.930 3.762
Ag 3.251 -2.591 2.436
Ag 2.510 -3.214 13.074
Ag 7.285 -4.346 8.005
Ag -1.523 -1.460 7.504
Cr 0.016 -2.048 10.540
Cr -1.842 1.018 11.008
Cr 1.691 -3.335 6.595
Cr 7.604 -6.824 4.502
Cr 5.745 -3.758 4.970
Cr 4.071 -2.470 8.914
```

## Properties
Its total magnetic moment is 8.95 μB per formula unit. The calculated total energy is -6.050 eV/atom. Its density of states at the Fermi level is 10.5 states/eV per cell. The polymorph energy (0 for the lowest one) comes out at 110 meV per atom. The formation energy (no corrections) comes out at -0.503 eV per atom. Its crystal system is monoclinic. As for the density: 4.76 g/cm³.


# NbCr3Ag2S8

NbCr3Ag2S8 after structural relaxation (GGA-PBE, the Alexandria database).

```
28
Lattice="-2.076 2.776 0.066 -5.370 -4.228 8.929 8.255 5.988 7.800" Properties=species:S:1:pos:R:3 pbc="T T T"
Cr 3.037 4.279 6.587
Cr 5.689 4.015 10.057
Cr -3.349 -2.698 8.135
Cr 0.335 -0.038 12.111
Cr -1.255 1.008 9.148
Cr -1.155 1.251 2.131
Ag 1.763 3.249 9.830
Ag -1.212 -1.043 5.707
Ag -2.613 -2.220 11.183
Ag 5.577 6.178 6.635
S 2.945 2.025 7.436
S 5.142 3.713 5.550
S -1.398 -1.246 8.450
S -2.688 0.070 3.536
S 7.228 5.198 8.731
S 3.157 2.006 14.915
S -0.511 1.620 6.837
S -4.021 -0.999 6.563
S -4.863 -1.703 9.731
S 0.584 2.301 12.632
S 0.612 0.374 3.515
S 4.121 2.806 11.590
S 1.773 3.378 4.759
S 3.816 4.808 8.851
S 0.990 0.506 9.876
S -1.849 0.512 11.368
Nb 2.453 3.685 13.197
Nb 1.560 1.033 5.611
```

## Properties
Its total magnetic moment is 8.77 μB per formula unit. The calculated total energy is -6.075 eV/atom. Its density of states at the Fermi level is 11.2 states/eV per cell. The polymorph energy (0 for the lowest one) comes out at 85 meV per atom. The formation energy (no corrections) comes out at -0.528 eV per atom. Its crystal system is orthorhombic. As for the density: 4.78 g/cm³.


# NbCr3Ag2S8

NbCr3Ag2S8 after structural relaxation (GGA-PBE, the Alexandria database).

```
14
Lattice="-1.438 -5.800 -3.587 2.808 -3.264 4.151 -5.263 -1.016 3.753" Properties=species:S:1:pos:R:3 pbc="T T T"
Ag -0.719 -2.900 -1.794
Ag 0.000 0.000 0.000
S 0.335 -2.551 3.990
S -1.858 -4.766 5.153
S -0.327 -5.401 2.093
S -1.298 -2.338 1.004
S -2.036 -5.314 -0.836
S -2.791 -1.729 3.914
S -3.567 -4.679 2.224
S -2.596 -7.742 3.313
Cr -1.588 -3.593 3.054
Cr -2.306 -6.487 1.263
Cr -2.632 -0.508 1.877
Nb -3.351 -3.408 0.083
```

## Properties
Its total magnetic moment is 8.89 μB per formula unit. The calculated total energy is -6.129 eV/atom. Its density of states at the Fermi level is 3.8 states/eV per cell. The polymorph energy (0 for the lowest one) comes out at 32 meV per atom. The formation energy (no corrections) comes out at -0.581 eV per atom. Its crystal system is monoclinic. As for the density: 4.41 g/cm³.


Q: Look up the total magnetic moment of the fifth one.
A: 8.77 μB per formula unit


Q: Look up the total magnetic moment of the fourth one.
A: 8.95 μB per formula unit


Copy entry 5 word for word.
# NbCr3Ag2S8

NbCr3Ag2S8 after structural relaxation (GGA-PBE, the Alexandria database).

```
28
Lattice="-2.076 2.776 0.066 -5.370 -4.228 8.929 8.255 5.988 7.800" Properties=species:S:1:pos:R:3 pbc="T T T"
Cr 3.037 4.279 6.587
Cr 5.689 4.015 10.057
Cr -3.349 -2.698 8.135
Cr 0.335 -0.038 12.111
Cr -1.255 1.008 9.148
Cr -1.155 1.251 2.131
Ag 1.763 3.249 9.830
Ag -1.212 -1.043 5.707
Ag -2.613 -2.220 11.183
Ag 5.577 6.178 6.635
S 2.945 2.025 7.436
S 5.142 3.713 5.550
S -1.398 -1.246 8.450
S -2.688 0.070 3.536
S 7.228 5.198 8.731
S 3.157 2.006 14.915
S -0.511 1.620 6.837
S -4.021 -0.999 6.563
S -4.863 -1.703 9.731
S 0.584 2.301 12.632
S 0.612 0.374 3.515
S 4.121 2.806 11.590
S 1.773 3.378 4.759
S 3.816 4.808 8.851
S 0.990 0.506 9.876
S -1.849 0.512 11.368
Nb 2.453 3.685 13.197
Nb 1.560 1.033 5.611
```

## Properties
Its total magnetic moment is 8.77 μB per formula unit. The calculated total energy is -6.075 eV/atom. Its density of states at the Fermi level is 11.2 states/eV per cell. The polymorph energy (0 for the lowest one) comes out at 85 meV per atom. The formation energy (no corrections) comes out at -0.528 eV per atom. Its crystal system is orthorhombic. As for the density: 4.78 g/cm³.


Q: What is the formation energy (no corrections) in the first record?
A: -0.515 eV per atom